Compound: Co2Pt2Rh
Source: the Alexandria database
Functional: PBE
Structure: optimized geometry

Unit cell a=7.2909 b=7.2909 c=2.7097 alpha=90.00 beta=90.00 gamma=90.00
Fractional positions:
Co1 0.1664 0.3336 0.0000
Co2 0.3336 0.8336 0.0000
Co3 0.6664 0.1664 0.0000
Co4 0.8336 0.6664 0.0000
Pt1 0.1324 0.6324 0.5000
Pt2 0.3676 0.1324 0.5000
Pt3 0.6324 0.8676 0.5000
Pt4 0.8676 0.3676 0.5000
Rh1 0.0000 0.0000 0.5000
Rh2 0.5000 0.5000 0.5000

## Properties
- ΔE to the lowest computed polymorph (meV/atom) = 44
- SG = P4/mbm (127)

---

Compound: K2CuSbS3
Source: the Alexandria database
Functional: PBE
Structure: optimized geometry

Unit cell a=6.3575 b=18.1984 c=7.5878 alpha=90.00 beta=120.32 gamma=90.00
Fractional positions:
K1 0.0841 0.1191 0.1421
K2 0.0841 0.3809 0.6421
K3 0.3546 0.0420 0.7112
K4 0.3546 0.4580 0.2112
K5 0.6454 0.5420 0.7888
K6 0.6454 0.9580 0.2888
K7 0.9159 0.6191 0.3579
K8 0.9159 0.8809 0.8579
Cu1 0.3824 0.2228 0.9354
Cu2 0.3824 0.2772 0.4354
Cu3 0.6176 0.7228 0.5646
Cu4 0.6176 0.7772 0.0646
Sb1 0.2353 0.6766 0.0034
Sb2 0.2353 0.8234 0.5034
Sb3 0.7647 0.1766 0.4966
Sb4 0.7647 0.3234 0.9966
S1 0.1616 0.5623 0.8169
S2 0.1616 0.9377 0.3169
S3 0.2024 0.2099 0.5898
S4 0.2024 0.2901 0.0898
S5 0.4047 0.6278 0.3530
S6 0.4047 0.8722 0.8530
S7 0.5953 0.1278 0.1470
S8 0.5953 0.3723 0.6470
S9 0.7976 0.7099 0.9102
S10 0.7976 0.7901 0.4102
S11 0.8384 0.0623 0.6831
S12 0.8384 0.4377 0.1831

## Properties
- ΔE_f (raw) (meV per atom) = -755
- SG = P2_1/c (14)

---

Compound: CsErNpS4
Source: the Alexandria database
Functional: PBE
Structure: optimized geometry

Unit cell a=8.5243 b=8.5243 c=8.5243 alpha=119.64 beta=119.45 gamma=90.79
Fractional positions:
Cs1 0.3760 0.1260 0.2500
Cs2 0.6240 0.8740 0.7500
Er1 0.0000 0.0000 0.5000
Er2 0.0000 0.5000 0.0000
Np1 0.0000 0.5000 0.5000
Np2 0.5000 0.5000 0.0000
S1 0.1746 0.7243 0.4503
S2 0.2260 0.2757 0.9503
S3 0.2287 0.2829 0.5542
S4 0.2287 0.6745 0.9458
S5 0.7713 0.3255 0.0542
S6 0.7713 0.7171 0.4458
S7 0.7740 0.7243 0.0497
S8 0.8254 0.2757 0.5497

## Properties
- ΔE_f (raw) (meV per atom) = -1484
- SG = Imma (74)

---

Compound: TlCo4Cl7
Source: the Alexandria database
Functional: PBE
Structure: optimized geometry

Unit cell a=15.7636 b=6.2624 c=6.0241 alpha=90.00 beta=90.00 gamma=90.00
Fractional positions:
Tl1 0.0000 0.1387 0.0000
Tl2 0.5000 0.8613 0.5000
Co1 0.1234 0.6787 0.5376
Co2 0.2491 0.1887 0.5237
Co3 0.2509 0.8113 0.0237
Co4 0.3766 0.3213 0.0376
Co5 0.6234 0.3213 0.0376
Co6 0.7491 0.8113 0.0237
Co7 0.7509 0.1887 0.5237
Co8 0.8766 0.6787 0.5376
Cl1 0.0000 0.8320 0.4259
Cl2 0.1199 0.3259 0.4479
Cl3 0.1200 0.7044 0.9165
Cl4 0.2445 0.8360 0.4084
Cl5 0.2555 0.1640 0.9084
Cl6 0.3800 0.2956 0.4165
Cl7 0.3801 0.6741 0.9479
Cl8 0.5000 0.1680 0.9259
Cl9 0.6200 0.2956 0.4165
Cl10 0.6199 0.6741 0.9479
Cl11 0.7445 0.1640 0.9084
Cl12 0.7555 0.8360 0.4084
Cl13 0.8801 0.3259 0.4479
Cl14 0.8800 0.7044 0.9165

## Properties
- ΔE_f (raw) (meV per atom) = -476
- SG = Pmn2_1 (31)